[1]
This record from the Alexandria database describes ZnW2Br after structural relaxation. The functional is PBE-GGA.

V (Å³ per atom): 16.7
Formation energy (no corrections) (eV/f.u.): 4.5
Total DFT energy (no corrections) (eV/atom): -6.09
Offset from the most stable computed form (meV per atom): 575

a = 2.827 Å, b = 2.827 Å, c = 8.363 Å
α = 90.00°, β = 90.00°, γ = 90.00°
Space group P4/mmm (No. 123)
Inequivalent atoms, fractional coordinates:
Zn 0.000 0.000 0.000
W 0.500 0.500 0.238
Br 0.000 0.000 0.500


[2]
This record from the Alexandria database describes ZrW2Br after structural relaxation. The functional is PBE-GGA.

V (Å³ per atom): 19.0
Formation energy (no corrections) (eV/f.u.): 2.2
Total DFT energy (no corrections) (eV/atom): -8.48
Offset from the most stable computed form (meV per atom): 420

a = 10.674 Å, b = 3.203 Å, c = 4.523 Å
α = 90.00°, β = 101.32°, γ = 90.00°
Space group C2/m (No. 12)
Inequivalent atoms, fractional coordinates:
Zr 0.000 0.000 0.000
W 0.242 0.500 0.217
Br 0.000 0.500 0.500


[3]
This record from the Alexandria database describes Zr2WBr after structural relaxation. The functional is PBE-GGA.

V (Å³ per atom): 20.0
Formation energy (no corrections) (eV/f.u.): 3.0
Total DFT energy (no corrections) (eV/atom): -7.17
Offset from the most stable computed form (meV per atom): 1037

a = 6.841 Å, b = 6.841 Å, c = 6.841 Å
α = 90.00°, β = 90.00°, γ = 90.00°
Space group F-43m (No. 216)
Inequivalent atoms, fractional coordinates:
Zr 0.000 0.000 0.000
Zr 0.250 0.250 0.250
W 0.250 0.250 0.750
Br 0.000 0.000 0.500